A relaxed Li3CoCu4O8 crystal. Source: Alexandria, functional GGA+U.

abc: 6.092 6.092 5.556
angles: 115.05 115.05 55.35
Atoms (fractional coordinates):
1 Li 0.000 0.000 0.000
2 Li 0.000 0.500 0.500
3 Li 0.500 0.000 0.500
4 Co 0.500 0.500 0.500
5 Cu 0.000 0.000 0.500
6 Cu 0.000 0.500 0.000
7 Cu 0.500 0.000 0.000
8 Cu 0.500 0.500 0.000
9 O 0.202 0.202 0.740
10 O 0.239 0.700 0.726
11 O 0.297 0.297 0.262
12 O 0.300 0.761 0.274
13 O 0.700 0.239 0.726
14 O 0.703 0.703 0.738
15 O 0.761 0.300 0.274
16 O 0.798 0.798 0.260

## Properties
Its calculated total energy is -83.20 eV/cell. The magnetic moment is 0.06 μB/atom. The calculation puts the density at 5.150 g/cm3.